## ZrIn2Cl (PBE-GGA)

Data for a geometry-optimized ZrIn2Cl structure.

abc: 3.1789 5.5832 10.9534
angles: 90.00 90.00 90.00
With the nearest neighbours (Å) after each atom.
Space group Imm2 (No. 44)
Asymmetric unit:
Zr  0.0000  0.0000  0.0000 x2  2 Cl 2.58
In  0.0000  0.0000  0.4772 x2  4 In 3.18-3.42, 4 Zr 3.22
In  0.0000  0.5000  0.2537 x2  2 Zr 3.13, 4 In 3.18-3.42, 4 Cl 3.30
Cl  0.0000  0.5000  0.6857 x2  2 Zr 2.58

Output
**Density of states at the Fermi level**: 0.777 states/eV per atom
**Volume**: 194.4 Å³ per cell
**Spin magnetization**: 0.00 Bohr magnetons per cell
**Raw total energy**: -0.1617 hartree per atom
**E above lowest polymorph**: 0.176 eV/atom

=====

## ZrInCl (PBE-GGA)

Data for a geometry-optimized ZrInCl structure.

abc: 5.9053 3.2782 7.3920
angles: 90.00 95.73 90.00
With the nearest neighbours (Å) after each atom.
Space group P2_1/m (No. 11)
Asymmetric unit:
Zr  0.2388  0.2500  0.0038 x2  3 Cl 2.63-2.64
In  0.4549  0.7500  0.3307 x2  4 In 3.00-3.28, 3 Zr 3.09-3.21
Cl  0.0567  0.7500  0.7510 x2  3 Zr 2.63-2.64

Output
**Density of states at the Fermi level**: 0.433 states/eV per atom
**Volume**: 142.4 Å³ per cell
**Spin magnetization**: 0.00 Bohr magnetons per cell
**Raw total energy**: -0.1849 hartree per atom
**E above lowest polymorph**: 0.222 eV/atom

=====

## ZrIn2Cl (PBE-GGA)

Data for a geometry-optimized ZrIn2Cl structure.

abc: 6.4615 8.9088 3.2025
angles: 90.00 90.00 90.00
With the nearest neighbours (Å) after each atom.
Space group Cmmm (No. 65)
Asymmetric unit:
Zr  0.0000  0.0000  0.0000 x2  8 In 3.18, 2 Zr 3.20, 2 Cl 3.23
In  0.2500  0.2500  0.5000 x4  4 Zr 3.18, 4 Cl 3.18, 4 In 3.20-3.23
Cl  0.0000  0.5000  0.0000 x2  8 In 3.18, 2 Cl 3.20, 2 Zr 3.23

Output
**Density of states at the Fermi level**: 0.687 states/eV per atom
**Volume**: 184.3 Å³ per cell
**Spin magnetization**: 0.00 Bohr magnetons per cell
**Raw total energy**: -0.1571 hartree per atom
**E above lowest polymorph**: 0.301 eV/atom

=====

## ZrInCl4 (PBE-GGA)

Data for a geometry-optimized ZrInCl4 structure.

abc: 8.2986 8.2986 8.2986
angles: 90.00 90.00 90.00
With the nearest neighbours (Å) after each atom.
Space group F-43m (No. 216)
Asymmetric unit:
Zr  0.0000  0.0000  0.0000 x4  12 Cl 3.44, 4 In 3.59
In  0.2500  0.2500  0.2500 x4  12 Cl 3.44, 4 Zr 3.59
Cl  0.1259  0.1259  0.6259 x16  6 Cl 2.91-2.96

Output
**Density of states at the Fermi level**: 1.193 states/eV per atom
**Volume**: 571.5 Å³ per cell
**Spin magnetization**: 3.84 Bohr magnetons per cell
**Raw total energy**: -0.1076 hartree per atom

=====

## ZrInCl3 (PBE-GGA)

Data for a geometry-optimized ZrInCl3 structure.

abc: 3.3208 10.0460 8.1680
angles: 90.00 90.47 90.00
With the nearest neighbours (Å) after each atom.
Space group P2_1/m (No. 11)
Asymmetric unit:
Zr  0.0000  0.0000  0.0000 x2  6 Cl 2.54-2.61
In  0.4861  0.2500  0.4680 x2  4 Cl 3.24-3.34, 2 In 3.32
Cl  0.0022  0.2500  0.0482 x2  2 Zr 2.54
Cl  0.4952  0.0281  0.7557 x4  2 Zr 2.61

Output
**Density of states at the Fermi level**: 0.373 states/eV per atom
**Volume**: 272.5 Å³ per cell
**Spin magnetization**: 0.00 Bohr magnetons per cell
**Raw total energy**: -0.1679 hartree per atom

=====

## ZrInCl (PBE-GGA)

Data for a geometry-optimized ZrInCl structure.

abc: 12.6234 3.2156 6.7690
angles: 90.00 98.51 90.00
With the nearest neighbours (Å) after each atom.
Space group Cm (No. 8)
Asymmetric unit:
Zr  0.0000  0.0000  0.0000 x2  3 Cl 2.56-2.79
Zr  0.1595  0.5000  0.3970 x2  3 Cl 2.59-2.68
In  0.3254  0.0000  0.7234 x2  4 Zr 3.12-3.24, 3 In 3.22-3.26, 5 Cl 3.43-3.48
In  0.3631  0.0000  0.2576 x2  4 Zr 3.08-3.29, 3 In 3.22-3.26, 2 Cl 3.28
Cl  0.0514  0.0000  0.6134 x2  3 Zr 2.68-2.79
Cl  0.1583  0.5000  0.0138 x2  3 Zr 2.56-2.59

Output
**Density of states at the Fermi level**: 0.341 states/eV per atom
**Volume**: 271.7 Å³ per cell
**Spin magnetization**: 0.00 Bohr magnetons per cell
**Raw total energy**: -0.1851 hartree per atom
**E above lowest polymorph**: 0.217 eV/atom

=====

## Ir2Cl (PBE-GGA)

Data for a geometry-optimized Ir2Cl structure.

abc: 3.8477 3.8477 7.9768
angles: 90.00 90.00 120.00
With the nearest neighbours (Å) after each atom.
Space group P6_3/mmc (No. 194)
Asymmetric unit:
Ir  0.3333  0.6667  0.0754 x4  4 Ir 2.53-2.79, 3 Cl 2.62
Cl  0.0000  0.0000  0.2500 x2  6 Ir 2.62

Output
**Density of states at the Fermi level**: 0.707 states/eV per atom
**Volume**: 102.3 Å³ per cell
**Spin magnetization**: 0.00 Bohr magnetons per cell
**Raw total energy**: -0.2167 hartree per atom
**E above lowest polymorph**: 0.340 eV/atom

=====

## Ir6Cl7 (PBE-GGA)

Data for a geometry-optimized Ir6Cl7 structure.

abc: 11.4577 11.4577 16.6648
angles: 90.00 90.00 120.00
With the nearest neighbours (Å) after each atom.
Space group R-3m (No. 166, hexagonal axes)
Asymmetric unit:
Ir  0.0000  0.0000  0.0670 x6  2 Ir 2.23-2.31
Ir  0.0000  0.0000  0.2057 x6  1 Ir 2.31, 3 Cl 2.36
Ir  0.0000  0.0000  0.3639 x6  4 Cl 2.27-2.36
Cl  0.0000  0.0000  0.5000 x3  2 Ir 2.27
Cl  0.0987  0.1975  0.2849 x18  2 Ir 2.36

Output
**Density of states at the Fermi level**: 0.950 states/eV per atom
**Volume**: 1894.6 Å³ per cell
**Spin magnetization**: 6.34 Bohr magnetons per cell
**Raw total energy**: -0.1511 hartree per atom

=====

## Ir2Cl (PBE-GGA)

Data for a geometry-optimized Ir2Cl structure.

abc: 4.2547 16.4679 2.7446
angles: 90.00 90.00 90.00
With the nearest neighbours (Å) after each atom.
Space group Cmcm (No. 63)
Asymmetric unit:
Ir  0.0000  0.0767  0.2500 x4  4 Cl 2.53, 4 Ir 2.74-2.78
Ir  0.0000  0.2236  0.7500 x4  8 Ir 2.68-2.78
Cl  0.0000  0.4166  0.2500 x4  4 Ir 2.53, 2 Cl 2.74

Output
**Density of states at the Fermi level**: 1.012 states/eV per atom
**Volume**: 192.3 Å³ per cell
**Spin magnetization**: 0.00 Bohr magnetons per cell
**Raw total energy**: -0.2119 hartree per atom
**E above lowest polymorph**: 0.471 eV/atom

=====

## Ir2Cl (PBE-GGA)

Data for a geometry-optimized Ir2Cl structure.

abc: 2.8125 3.4899 10.4866
angles: 90.00 90.00 90.00
With the nearest neighbours (Å) after each atom.
Space group Immm (No. 71)
Asymmetric unit:
Ir  0.0000  0.0000  0.1899 x4  6 Ir 2.57-2.81, 2 Cl 2.65
Cl  0.0000  0.5000  0.0000 x2  4 Ir 2.65, 2 Cl 2.81

Output
**Density of states at the Fermi level**: 1.048 states/eV per atom
**Volume**: 102.9 Å³ per cell
**Spin magnetization**: 0.00 Bohr magnetons per cell
**Raw total energy**: -0.2194 hartree per atom
**E above lowest polymorph**: 0.268 eV/atom

=====

## Ir2Cl (PBE-GGA)

Data for a geometry-optimized Ir2Cl structure.

abc: 2.7910 2.7910 25.7317
angles: 90.00 90.00 90.00
With the nearest neighbours (Å) after each atom.
Space group I4_1/amd (No. 141, origin choice 2)
Asymmetric unit:
Ir  0.0000  0.2500  0.2899 x8  2 Ir 2.48
Cl  0.0000  0.2500  0.8750 x4  4 Cl 2.79, 8 Ir 2.95

Output
**Density of states at the Fermi level**: 1.138 states/eV per atom
**Volume**: 200.4 Å³ per cell
**Spin magnetization**: 0.00 Bohr magnetons per cell
**Raw total energy**: -0.2046 hartree per atom
**E above lowest polymorph**: 0.671 eV/atom

=====

## IrCl2 (PBE-GGA)

Data for a geometry-optimized IrCl2 structure.

abc: 3.1391 3.0314 14.5867
angles: 90.00 90.00 90.00
With the nearest neighbours (Å) after each atom.
Space group Amm2 (No. 38)
Asymmetric unit:
Ir  0.0000  0.0000  0.0000 x2  3 Cl 2.21-2.28
Cl  0.0000  0.0000  0.8484 x2  1 Ir 2.21
Cl  0.5000  0.0000  0.1134 x2  2 Ir 2.28

Output
**Density of states at the Fermi level**: 0.307 states/eV per atom
**Volume**: 138.8 Å³ per cell
**Spin magnetization**: 0.00 Bohr magnetons per cell
**Raw total energy**: -0.1473 hartree per atom

=====

## IrCl2 (PBE-GGA)

Data for a geometry-optimized IrCl2 structure.

abc: 4.0263 4.0263 9.0096
angles: 90.00 90.00 120.00
With the nearest neighbours (Å) after each atom.
Space group P6_3/mmc (No. 194)
Asymmetric unit:
Ir  0.3333  0.6667  0.2500 x2  3 Cl 2.32
Cl  0.0000  0.0000  0.0000 x2  6 Cl 3.24, 6 Ir 3.24
Cl  0.3333  0.6667  0.7500 x2  3 Ir 2.32

Output
**Density of states at the Fermi level**: 1.581 states/eV per atom
**Volume**: 126.5 Å³ per cell
**Spin magnetization**: 2.71 Bohr magnetons per cell
**Raw total energy**: -0.1216 hartree per atom

=====

## IrCl2 (PBE-GGA)

Data for a geometry-optimized IrCl2 structure.

abc: 3.7654 3.7654 5.8401
angles: 90.00 90.00 120.00
With the nearest neighbours (Å) after each atom.
Space group P-3m1 (No. 164)
Asymmetric unit:
Ir  0.0000  0.0000  0.0000 x1  6 Cl 2.47
Cl  0.3333  0.6667  0.2007 x2  3 Ir 2.47

Output
**Density of states at the Fermi level**: 1.146 states/eV per atom
**Volume**: 71.7 Å³ per cell
**Spin magnetization**: 1.01 Bohr magnetons per cell
**Raw total energy**: -0.1482 hartree per atom

=====

## IrCl6 (PBE-GGA)

Data for a geometry-optimized IrCl6 structure.

abc: 10.7646 11.8456 5.9568
angles: 90.00 90.00 90.00
With the nearest neighbours (Å) after each atom.
Space group Pnma (No. 62)
Asymmetric unit:
Ir  0.0908  0.2500  0.0116 x4  6 Cl 2.29-2.32
Cl  0.0129  0.7500  0.6528 x4  1 Ir 2.29
Cl  0.0425  0.6132  0.1262 x8  1 Ir 2.32
Cl  0.1942  0.2500  0.6741 x4  1 Ir 2.30
Cl  0.2233  0.1119  0.1426 x8  1 Ir 2.31

Output
**Density of states at the Fermi level**: 1.146 states/eV per atom
**Volume**: 759.6 Å³ per cell
**Spin magnetization**: 2.10 Bohr magnetons per cell
**Raw total energy**: -0.1124 hartree per atom

=====

## Ir2Cl (PBE-GGA)

Data for a geometry-optimized Ir2Cl structure.

abc: 3.7742 3.7742 4.5088
angles: 90.00 90.00 120.00
With the nearest neighbours (Å) after each atom.
Space group P-3m1 (No. 164)
Asymmetric unit:
Ir  0.3333  0.6667  0.3791 x2  3 Ir 2.44
Cl  0.0000  0.0000  0.0000 x1  6 Ir 2.77

Output
**Density of states at the Fermi level**: 1.409 states/eV per atom
**Volume**: 55.6 Å³ per cell
**Spin magnetization**: 0.00 Bohr magnetons per cell
**Raw total energy**: -0.2115 hartree per atom
**E above lowest polymorph**: 0.481 eV/atom

=====

## Ir2Cl (PBE-GGA)

Data for a geometry-optimized Ir2Cl structure.

abc: 5.7957 5.7957 5.7957
angles: 90.00 90.00 90.00
With the nearest neighbours (Å) after each atom.
Space group Pa-3 (No. 205)
Asymmetric unit:
Ir  0.1364  0.1364  0.1364 x8  3 Cl 2.39
Cl  0.0000  0.0000  0.5000 x4  6 Ir 2.39

Output
**Density of states at the Fermi level**: 1.250 states/eV per atom
**Volume**: 194.7 Å³ per cell
**Spin magnetization**: 0.00 Bohr magnetons per cell
**Raw total energy**: -0.1804 hartree per atom
**E above lowest polymorph**: 1.328 eV/atom

=====

## Ir2Cl (PBE-GGA)

Data for a geometry-optimized Ir2Cl structure.

abc: 2.9322 2.9322 6.2844
angles: 90.00 90.00 120.00
With the nearest neighbours (Å) after each atom.
Space group P-3m1 (No. 164)
Asymmetric unit:
Ir  0.3333  0.6667  0.3421 x2  3 Ir 2.61, 3 Cl 2.74
Cl  0.0000  0.0000  0.0000 x1  6 Ir 2.74, 6 Cl 2.93

Output
**Density of states at the Fermi level**: 1.349 states/eV per atom
**Volume**: 46.8 Å³ per cell
**Spin magnetization**: 0.00 Bohr magnetons per cell
**Raw total energy**: -0.2151 hartree per atom
**E above lowest polymorph**: 0.384 eV/atom

=====

## IrCl2 (PBE-GGA)

Data for a geometry-optimized IrCl2 structure.

abc: 3.1629 3.1629 13.7550
angles: 90.00 90.00 90.00
With the nearest neighbours (Å) after each atom.
Space group I4/mmm (No. 139)
Asymmetric unit:
Ir  0.0000  0.0000  0.0000 x2  8 Cl 2.74
Cl  0.0000  0.0000  0.3847 x4  4 Ir 2.74

Output
**Density of states at the Fermi level**: 0.693 states/eV per atom
**Volume**: 137.6 Å³ per cell
**Spin magnetization**: 6.06 Bohr magnetons per cell
**Raw total energy**: -0.1268 hartree per atom

=====

## IrCl2 (PBE-GGA)

Data for a geometry-optimized IrCl2 structure.

abc: 12.6662 3.4689 7.0554
angles: 90.00 101.50 90.00
With the nearest neighbours (Å) after each atom.
Space group Cm (No. 8)
Asymmetric unit:
Ir  0.0000  0.0000  0.0000 x2  5 Cl 2.36-2.57
Ir  0.1476  0.5000  0.8652 x2  4 Cl 2.30-2.34
Cl  0.0429  0.5000  0.2289 x2  2 Ir 2.36
Cl  0.2021  0.0000  0.6852 x2  2 Ir 2.33
Cl  0.3123  0.5000  0.0851 x2  2 Ir 2.34-2.57
Cl  0.4631  0.0000  0.7663 x2  3 Ir 2.30-2.37

Output
**Volume**: 303.8 Å³ per cell
**Spin magnetization**: 0.00 Bohr magnetons per cell
**Raw total energy**: -0.1560 hartree per atom

=====

## IrCl2 (PBE-GGA)

Data for a geometry-optimized IrCl2 structure.

abc: 3.4804 3.4804 6.3904
angles: 90.00 90.00 90.00
With the nearest neighbours (Å) after each atom.
Space group P-4m2 (No. 115)
Asymmetric unit:
Ir  0.0000  0.0000  0.0000 x1  4 Cl 2.31
Cl  0.0000  0.5000  0.2369 x2  2 Ir 2.31

Output
**Density of states at the Fermi level**: 0.643 states/eV per atom
**Volume**: 77.4 Å³ per cell
**Spin magnetization**: 0.00 Bohr magnetons per cell
**Raw total energy**: -0.1442 hartree per atom

=====

## Ir2Cl (PBE-GGA)

Data for a geometry-optimized Ir2Cl structure.

abc: 2.8409 20.3060 4.4108
angles: 90.00 90.00 90.00
With the nearest neighbours (Å) after each atom.
Space group Cmcm (No. 63)
Asymmetric unit:
Ir  0.0000  0.0363  0.2500 x4  10 Ir 2.65-2.84
Ir  0.0000  0.4260  0.2500 x4  2 Cl 2.42, 2 Ir 2.65
Cl  0.0000  0.1707  0.7500 x4  2 Ir 2.42

Output
**Density of states at the Fermi level**: 1.104 states/eV per atom
**Volume**: 254.4 Å³ per cell
**Spin magnetization**: 0.00 Bohr magnetons per cell
**Raw total energy**: -0.2292 hartree per atom
**E above lowest polymorph**: 0.000 eV/atom

=====

## IrCl2 (PBE-GGA)

Data for a geometry-optimized IrCl2 structure.

abc: 6.0277 6.0277 6.0277
angles: 90.00 90.00 90.00
With the nearest neighbours (Å) after each atom.
Space group Pa-3 (No. 205)
Asymmetric unit:
Ir  0.0000  0.0000  0.0000 x4  6 Cl 2.46
Cl  0.1563  0.6563  0.8437 x8  3 Ir 2.46

Output
**Density of states at the Fermi level**: 0.386 states/eV per atom
**Volume**: 219.0 Å³ per cell
**Spin magnetization**: 0.00 Bohr magnetons per cell
**Raw total energy**: -0.1500 hartree per atom

=====

## Ir2Cl (PBE-GGA)

Data for a geometry-optimized Ir2Cl structure.

abc: 2.8957 2.8957 11.7441
angles: 90.00 90.00 90.00
With the nearest neighbours (Å) after each atom.
Space group I4/mmm (No. 139)
Asymmetric unit:
Ir  0.0000  0.0000  0.1811 x4  8 Ir 2.61-2.90
Cl  0.0000  0.0000  0.5000 x2  4 Cl 2.90, 8 Ir 2.95

Output
**Density of states at the Fermi level**: 1.535 states/eV per atom
**Volume**: 98.5 Å³ per cell
**Spin magnetization**: 0.00 Bohr magnetons per cell
**Raw total energy**: -0.2097 hartree per atom
**E above lowest polymorph**: 0.532 eV/atom

=====

## IrCl2 (PBE-GGA)

Data for a geometry-optimized IrCl2 structure.

abc: 7.7488 7.7488 7.7488
angles: 90.00 90.00 90.00
With the nearest neighbours (Å) after each atom.
Space group Fd-3m (No. 227, origin choice 2)
Asymmetric unit:
Ir  0.1250  0.1250  0.1250 x8  12 Cl 3.21, 4 Ir 3.36
Cl  0.0000  0.0000  0.5000 x16  6 Cl 2.74

Output
**Density of states at the Fermi level**: 1.361 states/eV per atom
**Volume**: 465.3 Å³ per cell
**Spin magnetization**: 12.65 Bohr magnetons per cell
**Raw total energy**: -0.0831 hartree per atom

=====

## Ir2Cl (PBE-GGA)

Data for a geometry-optimized Ir2Cl structure.

abc: 7.6160 7.6160 2.7858
angles: 90.00 90.00 120.00
With the nearest neighbours (Å) after each atom.
Space group P-62m (No. 189)
Asymmetric unit:
Ir  0.0000  0.3773  0.0000 x3  2 Cl 2.39
Ir  0.0000  0.7108  0.5000 x3  1 Cl 2.20
Cl  0.0000  0.0000  0.5000 x1  3 Ir 2.20
Cl  0.3333  0.6667  0.0000 x2  3 Ir 2.39

Output
**Density of states at the Fermi level**: 1.341 states/eV per atom
**Volume**: 139.9 Å³ per cell
**Spin magnetization**: 0.00 Bohr magnetons per cell
**Raw total energy**: -0.2058 hartree per atom
**E above lowest polymorph**: 0.638 eV/atom